Entry from the Open Quantum Materials Database: a relaxed MgTlCoSi crystal (PBE).

## Properties
**Final energy**: -3.726 eV per atom
**SG**: F-43m, No. 216

Cell lengths 4.555, 4.555, 4.555 Å; angles 60.00, 60.00, 60.00 degrees
Fractional positions:
1 Mg 0.000 0.000 0.000
2 Tl 0.250 0.250 0.250
3 Co 0.500 0.500 0.500
4 Si 0.750 0.750 0.750